## LiMnTc (GGA-PBEsol)

Data for crystalline LiMnTc at its relaxed geometry.

As for the symmetry: I4mm, No. 107. The density of states at the Fermi level is 3.545 states/eV/cell. For the formation energy, the calculation gives 0.46 eV per atom. The calculation puts the total energy at -7.2059 eV/atom.

```
3
Lattice="2.5201 0.0000 0.0000 0.0000 2.5201 0.0000 -1.2601 -1.2601 6.4451" Properties=species:S:1:pos:R:3 pbc="T T T"
Li 0.0000 0.0000 0.0131
Tc 0.0000 0.0000 4.2060
Mn 1.2600 1.2600 2.2259
```